Entry i
Computed, not measured: a geometry-optimized Na2Tl2Cd structure at the GGA-PBE level of DFT.

volume	28.17	A^3/atom
space-group type	No. 12
DOS at the Fermi energy	3.4	states/eV per cell
crystal system	monoclinic

The structure in CIF format:
```
data_Na2Tl2Cd
_cell_length_a 5.572
_cell_length_b 6.562
_cell_length_c 9.193
_cell_angle_alpha 110.03
_cell_angle_beta 90.00
_cell_angle_gamma 115.12
_space_group_name_H-M_alt 'P 1'
_space_group_IT_number 1
loop_
_space_group_symop_operation_xyz
'x,y,z'
loop_
_atom_site_label
_atom_site_type_symbol
_atom_site_fract_x
_atom_site_fract_y
_atom_site_fract_z
Na1 Na 0.950 0.899 0.649
Na2 Na 0.164 0.328 0.046
Na3 Na 0.050 0.101 0.351
Na4 Na 0.836 0.672 0.954
Tl1 Tl 0.351 0.701 0.428
Tl2 Tl 0.460 0.921 0.146
Tl3 Tl 0.649 0.299 0.572
Tl4 Tl 0.540 0.079 0.854
Cd1 Cd 0.744 0.487 0.275
Cd2 Cd 0.256 0.513 0.725
```

Entry ii
Computed, not measured: a geometry-optimized Na2Tl2Cd structure at the GGA-PBE level of DFT.

volume	29.10	A^3/atom
space-group type	No. 127
DOS at the Fermi energy	4.7	states/eV per cell
crystal system	tetragonal

The structure in CIF format:
```
data_Na2Tl2Cd
_cell_length_a 8.034
_cell_length_b 8.034
_cell_length_c 4.509
_cell_angle_alpha 90.00
_cell_angle_beta 90.00
_cell_angle_gamma 90.00
_space_group_name_H-M_alt 'P 1'
_space_group_IT_number 1
loop_
_space_group_symop_operation_xyz
'x,y,z'
loop_
_atom_site_label
_atom_site_type_symbol
_atom_site_fract_x
_atom_site_fract_y
_atom_site_fract_z
Na1 Na 0.163 0.663 0.500
Na2 Na 0.663 0.837 0.500
Na3 Na 0.837 0.337 0.500
Na4 Na 0.337 0.163 0.500
Tl1 Tl 0.360 0.860 0.000
Tl2 Tl 0.860 0.640 0.000
Tl3 Tl 0.640 0.140 0.000
Tl4 Tl 0.140 0.360 0.000
Cd1 Cd 0.000 0.000 0.000
Cd2 Cd 0.500 0.500 0.000
```

Each structure's energy above the most stable one, in meV per atom: entry i 0; entry ii 40.

Entry i
Computed, not measured: a geometry-optimized Na2Tl2Cd structure at the GGA-PBE level of DFT.

volume	28.73	A^3/atom
space-group type	No. 72
DOS at the Fermi energy	4.1	states/eV per cell
crystal system	orthorhombic

The structure in CIF format:
```
data_Na2Tl2Cd
_cell_length_a 5.966
_cell_length_b 6.362
_cell_length_c 8.735
_cell_angle_alpha 111.36
_cell_angle_beta 109.97
_cell_angle_gamma 90.00
_space_group_name_H-M_alt 'P 1'
_space_group_IT_number 1
loop_
_space_group_symop_operation_xyz
'x,y,z'
loop_
_atom_site_label
_atom_site_type_symbol
_atom_site_fract_x
_atom_site_fract_y
_atom_site_fract_z
Na1 Na 0.896 0.763 0.792
Na2 Na 0.104 0.237 0.208
Na3 Na 0.604 0.970 0.208
Na4 Na 0.396 0.030 0.792
Tl1 Tl 0.315 0.465 0.630
Tl2 Tl 0.685 0.535 0.370
Tl3 Tl 0.185 0.836 0.370
Tl4 Tl 0.815 0.164 0.630
Cd1 Cd 0.750 0.500 0.000
Cd2 Cd 0.250 0.500 0.000
```

Entry ii
Computed, not measured: a geometry-optimized Na2Tl2Cd structure at the GGA-PBE level of DFT.

volume	28.62	A^3/atom
space-group type	No. 127
DOS at the Fermi energy	5.0	states/eV per cell
crystal system	tetragonal

The structure in CIF format:
```
data_Na2Tl2Cd
_cell_length_a 8.664
_cell_length_b 8.664
_cell_length_c 3.813
_cell_angle_alpha 90.00
_cell_angle_beta 90.00
_cell_angle_gamma 90.00
_space_group_name_H-M_alt 'P 1'
_space_group_IT_number 1
loop_
_space_group_symop_operation_xyz
'x,y,z'
loop_
_atom_site_label
_atom_site_type_symbol
_atom_site_fract_x
_atom_site_fract_y
_atom_site_fract_z
Na1 Na 0.365 0.865 0.000
Na2 Na 0.865 0.635 0.000
Na3 Na 0.635 0.135 0.000
Na4 Na 0.135 0.365 0.000
Tl1 Tl 0.166 0.666 0.500
Tl2 Tl 0.666 0.834 0.500
Tl3 Tl 0.834 0.334 0.500
Tl4 Tl 0.334 0.166 0.500
Cd1 Cd 0.000 0.000 0.000
Cd2 Cd 0.500 0.500 0.000
```

Each structure's energy above the most stable one, in meV per atom: entry i 0; entry ii 69.

Entry i
Computed, not measured: a geometry-optimized Na8TlCd6 structure at the GGA-PBE level of DFT.

volume	30.49	A^3/atom
space-group type	No. 148
DOS at the Fermi energy	7.1	states/eV per cell
crystal system	trigonal

The structure in CIF format:
```
data_Na8TlCd6
_cell_length_a 8.980
_cell_length_b 8.980
_cell_length_c 8.353
_cell_angle_alpha 57.49
_cell_angle_beta 57.49
_cell_angle_gamma 60.00
_space_group_name_H-M_alt 'P 1'
_space_group_IT_number 1
loop_
_space_group_symop_operation_xyz
'x,y,z'
loop_
_atom_site_label
_atom_site_type_symbol
_atom_site_fract_x
_atom_site_fract_y
_atom_site_fract_z
Na1 Na 0.561 0.204 0.360
Na2 Na 0.796 0.126 0.640
Na3 Na 0.126 0.439 0.640
Na4 Na 0.664 0.664 0.008
Na5 Na 0.336 0.336 0.992
Na6 Na 0.874 0.561 0.360
Na7 Na 0.204 0.874 0.360
Na8 Na 0.439 0.796 0.640
Tl1 Tl 0.000 0.000 0.000
Cd1 Cd 0.388 0.042 0.863
Cd2 Cd 0.958 0.293 0.137
Cd3 Cd 0.293 0.612 0.137
Cd4 Cd 0.707 0.388 0.863
Cd5 Cd 0.042 0.707 0.863
Cd6 Cd 0.612 0.958 0.137
```

Entry ii
Computed, not measured: a geometry-optimized Na8TlCd6 structure at the GGA-PBE level of DFT.

volume	28.99	A^3/atom
space-group type	No. 148
DOS at the Fermi energy	8.4	states/eV per cell
crystal system	trigonal

The structure in CIF format:
```
data_Na8TlCd6
_cell_length_a 7.800
_cell_length_b 7.800
_cell_length_c 7.800
_cell_angle_alpha 75.31
_cell_angle_beta 75.31
_cell_angle_gamma 75.31
_space_group_name_H-M_alt 'P 1'
_space_group_IT_number 1
loop_
_space_group_symop_operation_xyz
'x,y,z'
loop_
_atom_site_label
_atom_site_type_symbol
_atom_site_fract_x
_atom_site_fract_y
_atom_site_fract_z
Na1 Na 0.078 0.705 0.714
Na2 Na 0.286 0.922 0.295
Na3 Na 0.295 0.286 0.922
Na4 Na 0.618 0.618 0.618
Na5 Na 0.382 0.382 0.382
Na6 Na 0.705 0.714 0.078
Na7 Na 0.714 0.078 0.705
Na8 Na 0.922 0.295 0.286
Tl1 Tl 0.000 0.000 0.000
Cd1 Cd 0.001 0.334 0.664
Cd2 Cd 0.336 0.999 0.666
Cd3 Cd 0.666 0.336 0.999
Cd4 Cd 0.334 0.664 0.001
Cd5 Cd 0.664 0.001 0.334
Cd6 Cd 0.999 0.666 0.336
```

Each structure's energy above the most stable one, in meV per atom: entry i 32; entry ii 0.

Entry i
Computed, not measured: a geometry-optimized Na2Tl5Cd structure at the GGA-PBE level of DFT.

volume	28.92	A^3/atom
space-group type	No. 55
DOS at the Fermi energy	4.9	states/eV per cell
crystal system	orthorhombic

The structure in CIF format:
```
data_Na2Tl5Cd
_cell_length_a 3.934
_cell_length_b 8.166
_cell_length_c 14.403
_cell_angle_alpha 90.00
_cell_angle_beta 90.00
_cell_angle_gamma 90.00
_space_group_name_H-M_alt 'P 1'
_space_group_IT_number 1
loop_
_space_group_symop_operation_xyz
'x,y,z'
loop_
_atom_site_label
_atom_site_type_symbol
_atom_site_fract_x
_atom_site_fract_y
_atom_site_fract_z
Na1 Na 0.500 0.246 0.625
Na2 Na 0.500 0.754 0.375
Na3 Na 0.500 0.254 0.125
Na4 Na 0.500 0.746 0.875
Tl1 Tl 0.000 0.000 0.000
Tl2 Tl 0.000 0.500 0.500
Tl3 Tl 0.000 0.512 0.742
Tl4 Tl 0.000 0.488 0.258
Tl5 Tl 0.000 0.988 0.242
Tl6 Tl 0.000 0.012 0.758
Tl7 Tl 0.500 0.273 0.881
Tl8 Tl 0.500 0.727 0.119
Tl9 Tl 0.500 0.227 0.381
Tl10 Tl 0.500 0.773 0.619
Cd1 Cd 0.000 0.000 0.500
Cd2 Cd 0.000 0.500 0.000
```

Entry ii
Computed, not measured: a geometry-optimized Na2Tl5Cd structure at the GGA-PBE level of DFT.

volume	28.63	A^3/atom
space-group type	No. 140
DOS at the Fermi energy	9.1	states/eV per cell
crystal system	tetragonal

The structure in CIF format:
```
data_Na2Tl5Cd
_cell_length_a 8.058
_cell_length_b 8.058
_cell_length_c 9.069
_cell_angle_alpha 116.38
_cell_angle_beta 116.38
_cell_angle_gamma 90.00
_space_group_name_H-M_alt 'P 1'
_space_group_IT_number 1
loop_
_space_group_symop_operation_xyz
'x,y,z'
loop_
_atom_site_label
_atom_site_type_symbol
_atom_site_fract_x
_atom_site_fract_y
_atom_site_fract_z
Na1 Na 0.143 0.357 0.000
Na2 Na 0.643 0.143 0.000
Na3 Na 0.357 0.857 0.000
Na4 Na 0.857 0.643 0.000
Tl1 Tl 0.491 0.684 0.676
Tl2 Tl 0.816 0.009 0.324
Tl3 Tl 0.000 0.000 0.000
Tl4 Tl 0.500 0.500 0.000
Tl5 Tl 0.184 0.991 0.676
Tl6 Tl 0.684 0.184 0.676
Tl7 Tl 0.991 0.491 0.676
Tl8 Tl 0.316 0.816 0.324
Tl9 Tl 0.009 0.509 0.324
Tl10 Tl 0.509 0.316 0.324
Cd1 Cd 0.750 0.750 0.500
Cd2 Cd 0.250 0.250 0.500
```

Each structure's energy above the most stable one, in meV per atom: entry i 0; entry ii 45.